InCo2Tc | PBE | relaxed

The structure in POSCAR format:
```
InCo2Tc
1.0
1.248 -2.951 2.875
1.402 1.233 3.879
-2.400 -0.750 3.494
Co Tc In
2 1 1
direct
0.250 0.250 0.250 Co
0.750 0.750 0.750 Co
0.000 0.000 0.000 Tc
0.500 0.500 0.500 In
```

Results
The electronic total energy comes out at -6.62 eV per atom. As for the magnetic moment: 4.0 μB/f.u. As for the energy above the most stable polymorph in this dataset: 0.0613 eV per atom. Its energy relative to the elements is 0.208 eV/atom. The density of states at the Fermi level is 0.4 states/eV/cell.